Al3GePb | GGA-PBE | relaxed

electronic total energy	-3.4040	eV/atom
formation energy	506.7	meV/atom
energy relative to the lowest polymorph listed for this composition	0.000	eV per atom
crystal system	cubic

a = 4.9575 Å, b = 4.9575 Å, c = 4.9575 Å
α = 90.00°, β = 90.00°, γ = 90.00°
Last column: nearest neighbours and their distance in Å.
Atoms (fractional coordinates):
Pb (0.5000, 0.5000, 0.5000)  12 Al 3.51
Ge (0.0000, 0.0000, 0.0000)  6 Al 2.48
Al (0.0000, 0.5000, 0.0000)  2 Ge 2.48
Al (0.0000, 0.0000, 0.5000)  2 Ge 2.48
Al (0.5000, 0.0000, 0.0000)  2 Ge 2.48